VASP calculation (PBE) on an optimized crystal structure of PrIrW.

abc: 6.5582 6.5582 6.5582
angles: 90.00 90.00 90.00
Space group F-43m (No. 216)
Asymmetric unit:
Pr 0.0000 0.0000 0.0000 x4
Ir 0.2500 0.2500 0.7500 x4
W 0.0000 0.0000 0.5000 x4

Output
**E above lowest polymorph**: 0.0000 eV/atom
**ΔE_f**: 171 kJ/mol of formula units
**Magnetization**: 0.004 μB/cell